(1)
Below is a relaxed structure of PtPb2Cl8, with properties calculated at the PBE level.

a = 9.169 Å, b = 7.753 Å, c = 7.699 Å
α = 121.74°, β = 90.00°, γ = 126.25°
Fractional coordinates of all 11 atoms:
Pt 0.000 0.000 0.000
Pb 0.703 0.406 0.280
Pb 0.297 0.594 0.720
Cl 0.009 0.362 0.236
Cl 0.353 0.362 0.236
Cl 0.991 0.638 0.764
Cl 0.455 0.910 0.187
Cl 0.647 0.638 0.764
Cl 0.956 0.913 0.254
Cl 0.044 0.087 0.746
Cl 0.545 0.090 0.813

Output
**E_form (uncorrected)**: -804 meV/atom
**Symmetry**: C2/m, No. 12
**Total energy**: -37.07 eV per cell

***

(2)
Below is a relaxed structure of Na2TlCd, with properties calculated at the PBE level.

a = 8.660 Å, b = 8.660 Å, c = 6.902 Å
α = 51.15°, β = 51.15°, γ = 90.00°
Fractional coordinates of all 8 atoms:
Na 0.618 0.125 0.250
Na 0.132 0.625 0.250
Na 0.375 0.382 0.750
Na 0.875 0.868 0.750
Tl 0.000 0.000 0.000
Tl 0.750 0.250 0.500
Cd 0.500 0.500 0.000
Cd 0.250 0.750 0.500

Output
**Symmetry**: I-42d, No. 122
**Total energy**: -11.68 eV per cell

***

(3)
Below is a relaxed structure of Cs2K4Rb5, with properties calculated at the PBE level.

a = 9.159 Å, b = 10.896 Å, c = 11.992 Å
α = 74.44°, β = 67.55°, γ = 65.15°
Fractional coordinates of all 11 atoms:
Cs 0.319 0.663 0.699
Cs 0.681 0.337 0.301
K 0.244 0.071 0.442
K 0.756 0.929 0.558
K 0.750 0.601 0.899
K 0.250 0.399 0.101
Rb 0.252 0.164 0.823
Rb 0.748 0.836 0.177
Rb 0.000 0.500 0.500
Rb 0.760 0.164 0.823
Rb 0.240 0.836 0.177

Output
**Symmetry**: C2/m, No. 12
**Total energy**: -10.66 eV per cell
**Distance to the lowest polymorph of the same formula**: 0.002 eV per atom

***

(4)
Below is a relaxed structure of CdTc3, with properties calculated at the PBE level.

a = 4.937 Å, b = 4.937 Å, c = 11.529 Å
α = 150.78°, β = 150.78°, γ = 33.37°
Fractional coordinates of all 4 atoms:
Cd 0.000 0.000 0.000
Tc 0.048 0.048 0.283
Tc 0.000 0.000 0.500
Tc 0.952 0.952 0.717

Output
**Symmetry**: C2/m, No. 12
**Total energy**: -30.59 eV per cell
**Distance to the lowest polymorph of the same formula**: 0.156 eV per atom

***

(5)
Below is a relaxed structure of Pm3PrAg2, with properties calculated at the PBE level.

a = 3.724 Å, b = 3.724 Å, c = 12.644 Å
α = 90.00°, β = 90.00°, γ = 90.00°
Fractional coordinates of all 6 atoms:
Pm 0.000 0.000 0.000
Pm 0.000 0.000 0.705
Pm 0.000 0.000 0.295
Pr 0.500 0.500 0.500
Ag 0.500 0.500 0.851
Ag 0.500 0.500 0.149

Output
**Symmetry**: P4/mmm, No. 123
**Total energy**: -25.73 eV per cell

***

(6)
Below is a relaxed structure of YTm3Ag, with properties calculated at the PBE level.

a = 6.615 Å, b = 6.615 Å, c = 8.474 Å
α = 88.44°, β = 120.75°, γ = 112.34°
Fractional coordinates of all 10 atoms:
Y 0.681 0.059 0.741
Y 0.319 0.941 0.259
Tm 0.736 0.911 0.149
Tm 0.237 0.413 0.149
Tm 0.763 0.587 0.851
Tm 0.819 0.439 0.258
Tm 0.264 0.089 0.851
Tm 0.181 0.561 0.742
Ag 0.756 0.745 0.500
Ag 0.244 0.255 0.500

Output
**Symmetry**: C2/m, No. 12
**Total energy**: -45.58 eV per cell

***

(7)
Below is a relaxed structure of Sr2TlCu, with properties calculated at the PBE level.

a = 4.591 Å, b = 4.591 Å, c = 6.783 Å
α = 90.00°, β = 90.00°, γ = 90.00°
Fractional coordinates of all 4 atoms:
Cu 0.500 0.500 0.833
Sr 0.000 0.000 0.911
Sr 0.500 0.500 0.323
Tl 0.000 0.000 0.432

Output
**Symmetry**: P4mm, No. 99
**Total energy**: -9.89 eV per cell

***

(8)
Below is a relaxed structure of Pm5Sm12Tm3, with properties calculated at the PBE level.

a = 16.241 Å, b = 16.241 Å, c = 16.241 Å
α = 109.47°, β = 109.47°, γ = 109.47°
Fractional coordinates of all 80 atoms:
Tm 0.750 0.375 0.125
Tm 0.875 0.750 0.125
Tm 0.375 0.750 0.625
Tm 0.250 0.125 0.375
Tm 0.875 0.125 0.250
Tm 0.375 0.625 0.250
Tm 0.625 0.375 0.750
Tm 0.125 0.875 0.750
Tm 0.750 0.875 0.625
Tm 0.625 0.250 0.375
Tm 0.125 0.250 0.875
Tm 0.250 0.625 0.875
Pm 0.125 0.375 0.250
Pm 0.000 0.500 0.000
Pm 0.000 0.000 0.000
Pm 0.375 0.250 0.125
Pm 0.500 0.000 0.500
Pm 0.500 0.500 0.000
Pm 0.125 0.750 0.375
Pm 0.750 0.125 0.875
Pm 0.750 0.625 0.375
Pm 0.375 0.125 0.750
Pm 0.625 0.875 0.250
Pm 0.500 0.500 0.500
Pm 0.500 0.000 0.000
Pm 0.000 0.000 0.500
Pm 0.250 0.375 0.625
Pm 0.250 0.875 0.125
Pm 0.000 0.500 0.500
Pm 0.875 0.250 0.625
Pm 0.625 0.750 0.875
Pm 0.875 0.625 0.750
Sm 0.730 0.139 0.075
Sm 0.344 0.575 0.436
Sm 0.925 0.361 0.270
Sm 0.575 0.230 0.139
Sm 0.592 0.730 0.656
Sm 0.925 0.564 0.156
Sm 0.344 0.770 0.408
Sm 0.064 0.908 0.139
Sm 0.564 0.925 0.656
Sm 0.730 0.592 0.156
Sm 0.770 0.425 0.361
Sm 0.844 0.936 0.075
Sm 0.139 0.730 0.575
Sm 0.361 0.436 0.092
Sm 0.092 0.936 0.361
Sm 0.408 0.139 0.564
Sm 0.092 0.156 0.230
Sm 0.425 0.656 0.064
Sm 0.844 0.908 0.270
Sm 0.139 0.408 0.064
Sm 0.361 0.925 0.770
Sm 0.564 0.639 0.408
Sm 0.936 0.844 0.575
Sm 0.770 0.344 0.908
Sm 0.436 0.361 0.592
Sm 0.064 0.156 0.425
Sm 0.230 0.656 0.092
Sm 0.156 0.092 0.730
Sm 0.639 0.075 0.230
Sm 0.861 0.592 0.936
Sm 0.575 0.344 0.936
Sm 0.592 0.861 0.436
Sm 0.908 0.844 0.770
Sm 0.908 0.064 0.639
Sm 0.861 0.270 0.425
Sm 0.156 0.064 0.925
Sm 0.639 0.564 0.908
Sm 0.436 0.075 0.344
Sm 0.270 0.408 0.844
Sm 0.230 0.575 0.639
Sm 0.936 0.092 0.861
Sm 0.656 0.230 0.592
Sm 0.425 0.770 0.861
Sm 0.075 0.436 0.844
Sm 0.408 0.270 0.344
Sm 0.075 0.639 0.730
Sm 0.656 0.425 0.564
Sm 0.270 0.861 0.925

Output
**Symmetry**: Ia-3d, No. 230
**Total energy**: -295.74 eV per cell